Here is crystalline MnAg3F7 at its relaxed geometry from the Alexandria database. Energies are from PBE with a Hubbard U.

As for the crystal system: monoclinic. As for the density of states at the Fermi level: 9.7 states/eV per cell. As for the theoretical density: 5.2 g/cm³. The calculation puts the spin magnetization at 0.2665 μB per atom. As for the total energy: -4.21 eV/atom.

It has space group Cm (No. 8), with a = 8.1071 Å, b = 7.6710 Å, c = 6.2624 Å, α = 90.00°, β = 122.84° and γ = 90.00°. The distinct sites, in fractional coordinates, are Mn at (0.0000, 0.0000, 0.0000), Ag at (0.0111, 0.5000, 0.0179), Ag at (0.4938, 0.2626, 0.4976), F at (0.0133, 0.5000, 0.6495), F at (0.1401, 0.1827, 0.2379), F at (0.1937, 0.0000, 0.8726), F at (0.3438, 0.5000, 0.2156) and F at (0.3545, 0.3237, 0.7605).

=====

Here is crystalline MnAg2F at its relaxed geometry from the Alexandria database. Energies are from PBE with a Hubbard U.

As for the crystal system: tetragonal. As for the density of states at the Fermi level: 4.6 states/eV per cell. As for the theoretical density: 6.8 g/cm³. The calculation puts the spin magnetization at 1.2077 μB per atom. As for the total energy: -4.11 eV/atom.

It has space group I-42d (No. 122), with a = 7.3616 Å, b = 7.3616 Å, c = 5.2059 Å, α = 90.00°, β = 90.00° and γ = 90.00°. The distinct sites, in fractional coordinates, are Mn at (0.0000, 0.0000, 0.0000), Ag at (0.2088, 0.7500, 0.6250) and F at (0.0000, 0.0000, 0.5000).

=====

Here is crystalline Mn2Ag2F7 at its relaxed geometry from the Alexandria database. Energies are from PBE with a Hubbard U.

As for the crystal system: monoclinic. As for the density of states at the Fermi level: 10.4 states/eV per cell. As for the theoretical density: 5.1 g/cm³. The calculation puts the spin magnetization at 0.8136 μB per atom. As for the total energy: -4.97 eV/atom.

It has space group C2/m (No. 12), with a = 7.6698 Å, b = 6.9780 Å, c = 5.6304 Å, α = 90.00°, β = 92.43° and γ = 90.00°. The distinct sites, in fractional coordinates, are Mn at (0.2282, 0.0000, 0.4952), Ag at (0.0000, 0.2703, 0.0000), F at (0.0000, 0.5000, 0.5000), F at (0.0048, 0.0000, 0.7196) and F at (0.2411, 0.2529, 0.2666).

=====

Here is crystalline MnAgF3 at its relaxed geometry from the Alexandria database. Energies are from PBE with a Hubbard U.

As for the crystal system: monoclinic. As for the theoretical density: 4.5 g/cm³. The calculation puts the spin magnetization at 0.9999 μB per atom. As for the total energy: -5.17 eV/atom.

It has space group C2/m (No. 12), with a = 5.8866 Å, b = 9.7874 Å, c = 6.1296 Å, α = 90.00°, β = 114.18° and γ = 90.00°. The distinct sites, in fractional coordinates, are Mn at (0.0000, 0.1714, 0.0000), Ag at (0.1715, 0.5000, 0.3908), F at (0.0129, 0.0000, 0.7774) and F at (0.1051, 0.3195, 0.8029).

=====

Here is crystalline MnAg4F7 at its relaxed geometry from the Alexandria database. Energies are from PBE with a Hubbard U.

As for the crystal system: monoclinic. As for the density of states at the Fermi level: 13.2 states/eV per cell. As for the theoretical density: 5.6 g/cm³. The calculation puts the spin magnetization at 0.3453 μB per atom. As for the total energy: -4.10 eV/atom.

It has space group Cm (No. 8), with a = 11.6074 Å, b = 3.2631 Å, c = 10.1731 Å, α = 90.00°, β = 108.55° and γ = 90.00°. The distinct sites, in fractional coordinates, are Mn at (0.0000, 0.0000, 0.0000), Ag at (0.1022, 0.5000, 0.3948), Ag at (0.2180, 0.0000, 0.7603), Ag at (0.2790, 0.5000, 0.1737), Ag at (0.4101, 0.5000, 0.5774), F at (0.0702, 0.5000, 0.6470), F at (0.1056, 0.5000, 0.9641), F at (0.1152, 0.0000, 0.1914), F at (0.2514, 0.0000, 0.5103), F at (0.3877, 0.5000, 0.8075), F at (0.3973, 0.0000, 0.0393) and F at (0.4455, 0.5000, 0.3576).

=====

Here is crystalline MnAg7F12 at its relaxed geometry from the Alexandria database. Energies are from PBE with a Hubbard U.

As for the crystal system: triclinic. As for the density of states at the Fermi level: 11.9 states/eV per cell. As for the theoretical density: 5.1 g/cm³. The calculation puts the spin magnetization at 0.1730 μB per atom. As for the total energy: -3.82 eV/atom.

It has space group P-1 (No. 2), with a = 7.0597 Å, b = 7.2483 Å, c = 7.4526 Å, α = 112.27°, β = 96.70° and γ = 103.09°. The distinct sites, in fractional coordinates, are Mn at (0.0000, 0.0000, 0.0000), Ag at (0.0000, 0.0000, 0.5000), Ag at (0.1772, 0.5278, 0.8723), Ag at (0.3285, 0.5667, 0.3588), Ag at (0.4888, 0.0711, 0.2342), F at (0.0728, 0.7052, 0.3965), F at (0.1032, 0.2824, 0.0377), F at (0.1715, 0.0789, 0.2975), F at (0.2187, 0.9314, 0.8901), F at (0.4060, 0.7336, 0.1619) and F at (0.4131, 0.5764, 0.6761).

=====

Here is crystalline Mn2AgF8 at its relaxed geometry from the Alexandria database. Energies are from PBE with a Hubbard U.

As for the crystal system: monoclinic. As for the density of states at the Fermi level: 4.1 states/eV per cell. As for the theoretical density: 4.3 g/cm³. The calculation puts the spin magnetization at 0.6363 μB per atom. As for the total energy: -4.89 eV/atom.

It has space group C2/m (No. 12), with a = 11.3490 Å, b = 5.2148 Å, c = 5.0070 Å, α = 90.00°, β = 103.06° and γ = 90.00°. The distinct sites, in fractional coordinates, are Mn at (0.2175, 0.0000, 0.1717), Ag at (0.0000, 0.5000, 0.5000), F at (0.0844, 0.0000, 0.3084), F at (0.1437, 0.2587, 0.8850) and F at (0.1849, 0.5000, 0.4554).

=====

Here is crystalline MnAg2F4 at its relaxed geometry from the Alexandria database. Energies are from PBE with a Hubbard U.

As for the crystal system: tetragonal. As for the density of states at the Fermi level: 0.7 states/eV per cell. As for the theoretical density: 5.3 g/cm³. The calculation puts the spin magnetization at 0.7137 μB per atom. As for the total energy: -4.60 eV/atom.

It has space group I4/mmm (No. 139), with a = 4.2177 Å, b = 4.2177 Å, c = 12.2864 Å, α = 90.00°, β = 90.00° and γ = 90.00°. The distinct sites, in fractional coordinates, are Mn at (0.0000, 0.0000, 0.0000), Ag at (0.0000, 0.0000, 0.3553), F at (0.0000, 0.0000, 0.1713) and F at (0.0000, 0.5000, 0.0000).

=====

Here is crystalline MnAg6F12 at its relaxed geometry from the Alexandria database. Energies are from PBE with a Hubbard U.

As for the crystal system: trigonal. As for the density of states at the Fermi level: 41.2 states/eV per cell. As for the theoretical density: 5.3 g/cm³. The calculation puts the spin magnetization at 0.2460 μB per atom. As for the total energy: -3.87 eV/atom.

It has space group R-3 (No. 148, hexagonal axes), with a = 10.3350 Å, b = 10.3350 Å, c = 9.5114 Å, α = 90.00°, β = 90.00° and γ = 120.00°. The distinct sites, in fractional coordinates, are Mn at (0.0000, 0.0000, 0.0000), Ag at (0.0448, 0.7974, 0.6542), F at (0.0180, 0.7814, 0.4030) and F at (0.0493, 0.8803, 0.8873).

=====

Here is crystalline MnAg2F4 at its relaxed geometry from the Alexandria database. Energies are from PBE with a Hubbard U.

As for the crystal system: orthorhombic. As for the density of states at the Fermi level: 0.0 states/eV per cell. As for the theoretical density: 5.5 g/cm³. The calculation puts the spin magnetization at 0.7143 μB per atom. As for the total energy: -4.64 eV/atom.

It has space group Pbca (No. 61), with a = 5.4783 Å, b = 5.8165 Å, c = 13.1015 Å, α = 90.00°, β = 90.00° and γ = 90.00°. The distinct sites, in fractional coordinates, are Mn at (0.0000, 0.0000, 0.0000), Ag at (0.0673, 0.0785, 0.3073), F at (0.1527, 0.5663, 0.6473) and F at (0.2084, 0.7154, 0.9424).